1.
# EuZn4Ga | Alexandria | PBE | optimized geometry
data_EuZn4Ga
_symmetry_space_group_name_H-M 'F -4 3 m'
_symmetry_Int_Tables_number 216
_symmetry_space_group_name_Hall 'F -4 2 3'
_cell_length_a 7.739
_cell_length_b 7.739
_cell_length_c 7.739
_cell_angle_alpha 90.00
_cell_angle_beta 90.00
_cell_angle_gamma 90.00
loop_
_atom_site_label
_atom_site_type_symbol
_atom_site_fract_x
_atom_site_fract_y
_atom_site_fract_z
Eu1 Eu 0.000 0.000 0.000
Zn1 Zn 0.125 0.125 0.625
Ga1 Ga 0.250 0.250 0.250
# - energy of formation from the pure elements (eV/atom) = -0.13
# - energy (eV/atom) = -3.195
# - magnetic moment (μB per atom) = 1.15


2.
# EuZrGa2 | Alexandria | PBE | optimized geometry
data_EuZrGa2
_symmetry_space_group_name_H-M 'R -3 m'
_symmetry_Int_Tables_number 166
_symmetry_space_group_name_Hall '-R 3 2"'
_cell_length_a 3.4965
_cell_length_b 3.4965
_cell_length_c 26.7295
_cell_angle_alpha 90.00
_cell_angle_beta 90.00
_cell_angle_gamma 120.00
loop_
_atom_site_label
_atom_site_type_symbol
_atom_site_fract_x
_atom_site_fract_y
_atom_site_fract_z
Eu1 Eu 0.0000 0.0000 0.0000
Zr1 Zr 0.0000 0.0000 0.5000
Ga1 Ga 0.0000 0.0000 0.2437
# - energy of formation from the pure elements (eV/atom) = -0.24
# - energy (eV/atom) = -6.456
# - magnetic moment (μB per atom) = 1.76


3.
# EuZrGa4 | Alexandria | PBE | optimized geometry
data_EuZrGa4
_symmetry_space_group_name_H-M 'F -4 3 m'
_symmetry_Int_Tables_number 216
_symmetry_space_group_name_Hall 'F -4 2 3'
_cell_length_a 7.724
_cell_length_b 7.724
_cell_length_c 7.724
_cell_angle_alpha 90.00
_cell_angle_beta 90.00
_cell_angle_gamma 90.00
loop_
_atom_site_label
_atom_site_type_symbol
_atom_site_fract_x
_atom_site_fract_y
_atom_site_fract_z
Eu1 Eu 0.000 0.000 0.000
Zr1 Zr 0.250 0.250 0.750
Ga1 Ga 0.125 0.125 0.375
# - energy of formation from the pure elements (eV/atom) = -0.41
# - energy (eV/atom) = -5.561
# - magnetic moment (μB per atom) = 1.25


4.
# EuZrGa2 | Alexandria | PBE | optimized geometry
data_EuZrGa2
_symmetry_space_group_name_H-M 'P 4/m m m'
_symmetry_Int_Tables_number 123
_symmetry_space_group_name_Hall '-P 4 2'
_cell_length_a 3.636
_cell_length_b 3.636
_cell_length_c 6.771
_cell_angle_alpha 90.00
_cell_angle_beta 90.00
_cell_angle_gamma 90.00
loop_
_atom_site_label
_atom_site_type_symbol
_atom_site_fract_x
_atom_site_fract_y
_atom_site_fract_z
Eu1 Eu 0.000 0.000 0.000
Zr1 Zr 0.000 0.000 0.500
Ga1 Ga 0.500 0.500 0.297
# - energy of formation from the pure elements (eV/atom) = -0.43
# - energy (eV/atom) = -6.650
# - magnetic moment (μB per atom) = 1.84


Q: Which of these has the highest magnetic moment?
A: number 4